# 1
This record from Alexandria describes an optimized crystal structure of LiAu. The functional is PBE.

Unit cell a=9.336 b=9.336 c=9.336 alpha=18.21 beta=18.21 gamma=18.21
Fractional positions:
Au: 0.997 0.997 0.997
Au: 0.753 0.753 0.753
Li: 0.495 0.495 0.495
Li: 0.255 0.255 0.255

As for the energy: -2.7998 eV/atom. The calculation puts the energy of formation at -0.20 eV per atom. The density of states at the Fermi level is 0.7 states/eV/f.u.



# 2
This record from Alexandria describes an optimized crystal structure of La2TlSn4. The functional is PBE.

Unit cell a=5.633 b=5.633 c=8.880 alpha=71.51 beta=71.51 gamma=90.00
Fractional positions:
Tl: 0.000 0.000 0.000
Sn: 0.177 0.177 0.645
Sn: 0.823 0.823 0.355
Sn: 0.000 0.500 0.000
Sn: 0.500 0.000 0.000
La: 0.379 0.379 0.241
La: 0.621 0.621 0.759

As for the energy: -3.9954 eV/atom. As for the energy relative to the lowest polymorph listed for this composition: 0.523 eV/atom. The calculation puts the energy of formation at 0.04 eV per atom. The density of states at the Fermi level is 5.2 states/eV/f.u.



What is the energy of formation in the first record? -0.20 eV per atom



Which of these has the lowest energy? La2TlSn4



Which of these has the lowest energy? La2TlSn4